VASP calculation (PBE) on a geometry-optimized SrSn3I structure.

a = 5.8932 Å, b = 5.8932 Å, c = 5.8932 Å
α = 90.00°, β = 90.00°, γ = 90.00°
With the nearest neighbours (Å) after each atom.
Atoms (fractional coordinates):
I 0.0000 0.0000 0.0000  6 Sn 2.95
Sr 0.5000 0.5000 0.5000  12 Sn 4.17
Sn 0.0000 0.5000 0.0000  2 I 2.95
Sn 0.0000 0.0000 0.5000  2 I 2.95
Sn 0.5000 0.0000 0.0000  2 I 2.95

ΔE to the lowest computed polymorph in eV per atom: 0.000
Raw formation energy in eV/atom: 0.348
Space-group type: Pm-3m (221)
Total DFT energy (no corrections) in eV for the cell shown: -13.50